Entry from Alexandria: a relaxed TcIr3O crystal (PBE).

Lattice parameters (Å, degrees): 4.1159 4.1159 4.1159 90.00 90.00 90.00
Closest atoms and distances in Å follow each position.
Element x y z (fractional)
1 Ir 0.0000 0.5000 0.0000  2 O 2.06
2 Ir 0.5000 0.0000 0.0000  2 O 2.06
3 Ir 0.0000 0.0000 0.5000  2 O 2.06
4 Tc 0.5000 0.5000 0.5000  12 Ir 2.91
5 O 0.0000 0.0000 0.0000  6 Ir 2.06

Summary:
Energy above the most stable polymorph in this dataset   0.000 eV/atom
Final energy   -0.2743 Ha/atom
Size of the total moment   0.00 μB per cell
Calculated density   16.4 Mg/m³
Crystal system   cubic
Formation energy (no corrections)   0.9171 eV per atom



Entry from Alexandria: a relaxed Er4SnPd7 crystal (PBE).

Lattice parameters (Å, degrees): 5.1545 9.3799 5.9651 80.91 64.40 74.05
Closest atoms and distances in Å follow each position.
Element x y z (fractional)
1 Pd 0.3666 0.5219 0.7449  2 Pd 2.68-2.75, 5 Er 2.79-2.93
2 Pd 0.0759 0.6889 0.1594  2 Pd 2.75-2.82, 1 Sn 2.90, 3 Er 2.94-3.02
3 Pd 0.9241 0.3111 0.8406  2 Pd 2.75-2.82, 1 Sn 2.90, 3 Er 2.94-3.02
4 Pd 0.6334 0.4781 0.2551  2 Pd 2.68-2.75, 5 Er 2.79-2.93
5 Pd 0.5000 0.0000 0.0000  2 Sn 2.58, 2 Pd 2.78, 2 Er 2.84
6 Pd 0.2111 0.0889 0.4889  4 Pd 2.78-3.04, 4 Er 2.83-2.90, 1 Sn 2.83
7 Pd 0.7889 0.9111 0.5111  4 Pd 2.78-3.04, 4 Er 2.83-2.90, 1 Sn 2.83
8 Sn 0.0000 0.0000 0.0000  4 Pd 2.58-2.83
9 Er 0.5904 0.2173 0.6018  8 Pd 2.83-3.02
10 Er 0.4096 0.7827 0.3982  8 Pd 2.83-3.02
11 Er 0.7881 0.6364 0.7874  5 Pd 2.79-2.94
12 Er 0.2119 0.3636 0.2126  5 Pd 2.79-2.94

Summary:
Final energy   -0.2062 Ha/atom
Size of the total moment   0.00 μB per cell
Calculated density   10.2 Mg/m³
Energy of formation from the pure elements   -842 kJ/mol of formula units
Crystal system   monoclinic



Entry from Alexandria: a relaxed Cs2ScPbS4 crystal (PBE).

Lattice parameters (Å, degrees): 6.6743 8.1973 12.8175 83.92 74.91 65.98
Closest atoms and distances in Å follow each position.
Element x y z (fractional)
1 Cs 0.1798 0.0000 0.6404  8 S 3.77-4.22
2 Cs 0.8202 0.0000 0.3596  8 S 3.77-4.22
3 Cs 0.5702 0.5000 0.8596  8 S 3.77-4.22
4 Cs 0.9298 0.5000 0.1404  8 S 3.77-4.22
5 Pb 0.5000 0.0000 0.0000  4 S 2.68
6 Pb 0.2500 0.5000 0.5000  4 S 2.68
7 S 0.1792 0.1932 0.8949  1 Sc 2.45, 1 Pb 2.68
8 S 0.1224 0.3068 0.3949  1 Sc 2.45, 1 Pb 2.68
9 S 0.9259 0.8068 0.8949  1 Sc 2.45, 1 Pb 2.68
10 S 0.4827 0.6932 0.3949  1 Sc 2.45, 1 Pb 2.68
11 S 0.6276 0.1932 0.1051  1 Sc 2.45, 1 Pb 2.68
12 S 0.5708 0.3068 0.6051  1 Sc 2.45, 1 Pb 2.68
13 S 0.2673 0.8068 0.1051  1 Sc 2.45, 1 Pb 2.68
14 S 0.8241 0.6932 0.6051  1 Sc 2.45, 1 Pb 2.68
15 Sc 0.7500 0.5000 0.5000  4 S 2.45
16 Sc 0.0000 0.0000 0.0000  4 S 2.45

Summary:
Final energy   -0.1697 Ha/atom
Size of the total moment   0.96 μB per cell
Calculated density   3.5 Mg/m³
Crystal system   orthorhombic
Formation energy (no corrections)   -1.0869 eV per atom



Entry from Alexandria: a relaxed VFe3S crystal (PBE).

Lattice parameters (Å, degrees): 4.1345 4.1345 4.1345 90.00 90.00 90.00
Closest atoms and distances in Å follow each position.
Element x y z (fractional)
1 Fe 0.0000 0.5000 0.0000  2 S 2.07
2 Fe 0.5000 0.0000 0.0000  2 S 2.07
3 Fe 0.0000 0.0000 0.5000  2 S 2.07
4 V 0.5000 0.5000 0.5000  12 Fe 2.92
5 S 0.0000 0.0000 0.0000  6 Fe 2.07

Summary:
Energy above the most stable polymorph in this dataset   0.000 eV/atom
Final energy   -0.2727 Ha/atom
Size of the total moment   3.17 μB per cell
Calculated density   5.9 Mg/m³
Crystal system   cubic
Formation energy (no corrections)   0.3057 eV per atom



Entry from Alexandria: a relaxed TeMo2S crystal (PBE).

Lattice parameters (Å, degrees): 4.5294 4.5294 4.5294 60.00 60.00 60.00
Closest atoms and distances in Å follow each position.
Element x y z (fractional)
1 Mo 0.7500 0.7500 0.7500  4 S 2.77, 4 Te 2.77
2 Mo 0.2500 0.2500 0.2500  4 Te 2.77, 4 S 2.77
3 S 0.0000 0.0000 0.0000  8 Mo 2.77
4 Te 0.5000 0.5000 0.5000  8 Mo 2.77

Summary:
Energy above the most stable polymorph in this dataset   0.023 eV/atom
Final energy   -0.2565 Ha/atom
Size of the total moment   0.00 μB per cell
Calculated density   8.9 Mg/m³
Crystal system   cubic
Formation energy (no corrections)   0.2527 eV per atom